Entry from the Alexandria database: an optimized crystal structure of Sr2Mn2O5 (PBEsol).

Total moment in Bohr magnetons per cell: 16.0
Uncorrected formation energy in eV per formula unit: -20.4

Lattice parameters (Å, degrees): 3.772 5.487 10.804 90.00 90.00 90.00
Last column: magnetic moment on the atom in μB.
Fractional coordinates of all 18 atoms:
O 0.000 0.500 0.500  0.10
O 0.000 0.000 0.000  0.10
O 0.000 0.974 0.734  0.11
O 0.000 0.026 0.266  0.11
O 0.000 0.474 0.766  0.11
O 0.000 0.526 0.234  0.11
O 0.500 0.202 0.601  0.08
O 0.500 0.798 0.399  0.08
O 0.500 0.298 0.101  0.08
O 0.500 0.702 0.899  0.08
Mn 0.000 0.241 0.624  3.49
Mn 0.000 0.759 0.376  3.49
Mn 0.000 0.741 0.876  3.49
Mn 0.000 0.259 0.124  3.49
Sr 0.500 0.217 0.867  0.01
Sr 0.500 0.783 0.133  0.01
Sr 0.500 0.717 0.633  0.01
Sr 0.500 0.283 0.367  0.01



Entry from the Alexandria database: an optimized crystal structure of Sr3Mn2O7 (PBEsol).

Total moment in Bohr magnetons per cell: 6.0
Uncorrected formation energy in eV per formula unit: -28.8

Lattice parameters (Å, degrees): 3.788 3.788 10.312 100.58 100.58 90.00
Last column: magnetic moment on the atom in μB.
Fractional coordinates of all 12 atoms:
O 0.595 0.095 0.191  0.07
O 0.095 0.595 0.191  0.07
O 0.405 0.905 0.809  0.07
O 0.905 0.405 0.809  0.07
O 0.192 0.192 0.384  0.03
O 0.000 0.000 0.000  0.10
O 0.808 0.808 0.616  0.03
Mn 0.903 0.903 0.806  2.60
Mn 0.097 0.097 0.194  2.60
Sr 0.500 0.500 0.000  0.01
Sr 0.683 0.683 0.366  0.01
Sr 0.317 0.317 0.634  0.01



Entry from the Alexandria database: an optimized crystal structure of SrMn7O12 (PBEsol).

Total moment in Bohr magnetons per cell: 26.9
Uncorrected formation energy in eV per formula unit: -35.7

Lattice parameters (Å, degrees): 6.373 6.374 6.374 70.53 70.53 109.47
Last column: magnetic moment on the atom in μB.
Fractional coordinates of all 20 atoms:
Sr 0.000 0.000 0.000  0.02
Mn 0.500 0.000 0.500  3.75
Mn 0.000 0.500 0.500  3.75
Mn 0.500 0.500 0.000  3.75
Mn 0.000 0.000 0.500  3.40
Mn 0.500 0.500 0.500  3.40
Mn 0.000 0.500 0.000  3.40
Mn 0.500 0.000 0.000  3.40
O 0.869 0.180 0.311  0.07
O 0.180 0.311 0.509  0.07
O 0.689 0.509 0.180  0.07
O 0.131 0.820 0.689  0.07
O 0.820 0.689 0.491  0.07
O 0.311 0.491 0.820  0.07
O 0.491 0.180 0.689  0.07
O 0.180 0.689 0.131  0.07
O 0.311 0.131 0.180  0.07
O 0.509 0.820 0.311  0.07
O 0.820 0.311 0.869  0.07
O 0.689 0.869 0.820  0.07



Entry from the Alexandria database: an optimized crystal structure of Sr2Mn2O5 (PBEsol).

Total moment in Bohr magnetons per cell: 8.6
Uncorrected formation energy in eV per formula unit: -19.0

Lattice parameters (Å, degrees): 5.403 5.392 8.607 108.26 108.30 89.99
Last column: magnetic moment on the atom in μB.
Fractional coordinates of all 18 atoms:
Sr 0.384 0.389 0.781  0.01
Sr 0.616 0.607 0.219  0.01
Sr 0.897 0.888 0.781  0.01
Sr 0.103 0.108 0.219  0.01
Mn 0.300 0.770 0.500  3.54
Mn 0.700 0.269 0.500  3.59
Mn 0.000 0.496 0.000  0.14
Mn 0.500 0.996 0.000  0.15
O 0.382 0.112 0.500  0.11
O 0.617 0.612 0.500  0.11
O 0.253 0.752 0.009  0.02
O 0.748 0.744 0.992  0.02
O 0.256 0.252 0.008  0.02
O 0.744 0.243 0.991  0.03
O 0.343 0.856 0.737  0.05
O 0.657 0.121 0.262  0.05
O 0.895 0.358 0.738  0.05
O 0.106 0.619 0.263  0.05



Entry from the Alexandria database: an optimized crystal structure of SrMnO2 (PBEsol).

Total moment in Bohr magnetons per cell: 4.6
Uncorrected formation energy in eV per formula unit: -7.3

Lattice parameters (Å, degrees): 3.764 3.764 6.444 73.02 73.02 60.00
Last column: magnetic moment on the atom in μB.
Fractional coordinates of all 4 atoms:
Sr 0.500 0.500 0.500  0.02
Mn 0.000 0.000 0.000  3.91
O 0.902 0.902 0.295  0.06
O 0.098 0.098 0.705  0.06



Entry from the Alexandria database: an optimized crystal structure of Sr2Mn2O5 (PBEsol).

Total moment in Bohr magnetons per cell: 7.0
Uncorrected formation energy in eV per formula unit: -20.2

Lattice parameters (Å, degrees): 3.706 5.442 5.442 90.00 90.00 90.00
Last column: magnetic moment on the atom in μB.
Fractional coordinates of all 9 atoms:
Sr 0.000 0.500 0.000  0.00
Sr 0.000 0.000 0.500  0.00
Mn 0.500 0.500 0.500  3.22
Mn 0.500 0.000 0.000  2.99
O 0.000 0.000 0.000  0.13
O 0.500 0.255 0.255  0.08
O 0.500 0.745 0.745  0.08
O 0.500 0.745 0.255  0.08
O 0.500 0.255 0.745  0.08



Entry from the Alexandria database: an optimized crystal structure of Sr5Mn5O13 (PBEsol).

Total moment in Bohr magnetons per cell: 19.0
Uncorrected formation energy in eV per formula unit: -52.4

Lattice parameters (Å, degrees): 3.793 8.581 8.581 90.00 90.00 90.00
Last column: magnetic moment on the atom in μB.
Fractional coordinates of all 23 atoms:
Sr 0.500 0.388 0.217  0.01
Sr 0.500 0.217 0.612  0.01
Sr 0.500 0.783 0.388  0.01
Sr 0.500 0.612 0.783  0.01
Sr 0.500 0.000 0.000  0.01
Mn 0.000 0.100 0.301  3.42
Mn 0.000 0.900 0.699  3.42
Mn 0.000 0.301 0.900  3.42
Mn 0.000 0.699 0.100  3.42
Mn 0.000 0.500 0.500  2.98
O 0.000 0.100 0.791  0.10
O 0.000 0.424 0.712  0.09
O 0.500 0.917 0.667  0.07
O 0.000 0.288 0.424  0.09
O 0.000 0.791 0.900  0.10
O 0.000 0.900 0.209  0.10
O 0.000 0.576 0.288  0.09
O 0.500 0.083 0.333  0.07
O 0.500 0.667 0.083  0.07
O 0.500 0.333 0.917  0.07
O 0.000 0.712 0.576  0.09
O 0.500 0.500 0.500  0.08
O 0.000 0.209 0.100  0.10



Entry from the Alexandria database: an optimized crystal structure of Sr16Mn8O29 (PBEsol).

Total moment in Bohr magnetons per cell: 30.0
Uncorrected formation energy in eV per formula unit: -130.8

Lattice parameters (Å, degrees): 6.770 10.183 10.760 90.06 90.03 104.14
Last column: magnetic moment on the atom in μB.
Fractional coordinates of all 53 atoms:
Sr 0.213 0.932 0.000  0.01
Sr 0.228 0.921 0.500  0.01
Sr 0.021 0.316 0.253  0.01
Sr 0.039 0.331 0.756  0.01
Sr 0.286 0.581 0.993  0.01
Sr 0.287 0.569 0.498  0.01
Sr 0.521 0.814 0.244  0.01
Sr 0.541 0.825 0.749  0.01
Sr 0.462 0.169 0.255  0.01
Sr 0.480 0.185 0.756  0.01
Sr 0.709 0.428 0.501  0.01
Sr 0.728 0.433 0.996  0.01
Sr 0.962 0.668 0.242  0.01
Sr 0.966 0.683 0.748  0.01
Sr 0.769 0.074 0.504  0.01
Sr 0.790 0.073 0.003  0.01
Mn 0.003 0.001 0.750  3.32
Mn 0.244 0.249 0.500  3.33
Mn 0.255 0.252 0.999  3.37
Mn 0.499 0.499 0.248  3.37
Mn 0.501 0.503 0.751  2.93
Mn 0.749 0.751 0.999  2.93
Mn 0.753 0.749 0.500  3.32
Mn 0.997 0.999 0.252  3.34
O 0.219 0.912 0.258  0.04
O 0.006 0.320 0.508  0.04
O 0.245 0.932 0.742  0.04
O 0.031 0.338 0.009  0.04
O 0.256 0.565 0.239  0.04
O 0.265 0.582 0.748  0.02
O 0.102 0.103 0.396  0.08
O 0.134 0.131 0.863  0.11
O 0.136 0.136 0.129  0.12
O 0.513 0.832 0.999  0.02
O 0.532 0.835 0.489  0.04
O 0.365 0.367 0.631  0.07
O 0.367 0.369 0.363  0.12
O 0.387 0.385 0.887  0.11
O 0.614 0.613 0.115  0.11
O 0.621 0.621 0.624  0.09
O 0.630 0.633 0.869  0.08
O 0.637 0.635 0.370  0.11
O 0.467 0.165 0.510  0.04
O 0.497 0.182 0.011  0.04
O 0.876 0.878 0.880  0.09
O 0.865 0.868 0.135  0.08
O 0.891 0.889 0.611  0.09
O 0.720 0.409 0.242  0.04
O 0.737 0.425 0.750  0.02
O 0.985 0.676 0.997  0.02
O 0.756 0.066 0.260  0.04
O 0.994 0.678 0.490  0.04
O 0.781 0.089 0.743  0.04



Entry from the Alexandria database: an optimized crystal structure of Sr2TaMnO6 (PBEsol).

Total moment in Bohr magnetons per cell: 3.9
Uncorrected formation energy in eV per formula unit: -27.2

Lattice parameters (Å, degrees): 5.481 5.662 5.481 61.05 90.00 118.95
Last column: magnetic moment on the atom in μB.
Fractional coordinates of all 10 atoms:
Sr 0.250 0.500 0.250  0.00
Sr 0.750 0.500 0.750  0.00
Ta 0.000 0.000 0.000  0.05
Mn 0.500 0.000 0.500  3.45
O 0.255 0.000 0.255  0.02
O 0.761 0.523 0.239  0.07
O 0.255 0.000 0.745  0.02
O 0.745 0.000 0.745  0.02
O 0.239 0.477 0.761  0.07
O 0.745 0.000 0.255  0.02



Entry from the Alexandria database: an optimized crystal structure of Sr2MnWO6 (PBEsol).

Total moment in Bohr magnetons per cell: 9.9
Uncorrected formation energy in eV per formula unit: -24.7

Lattice parameters (Å, degrees): 5.637 5.657 7.936 90.00 89.90 90.00
Last column: magnetic moment on the atom in μB.
Fractional coordinates of all 20 atoms:
Sr 0.995 0.029 0.251  0.00
Sr 0.505 0.529 0.249  0.00
Sr 0.495 0.471 0.751  0.00
Sr 0.005 0.971 0.749  0.00
Mn 0.500 0.000 0.000  4.29
Mn 0.000 0.500 0.500  4.29
W 0.000 0.500 0.000  0.16
W 0.500 0.000 0.500  0.16
O 0.704 0.271 0.466  0.04
O 0.796 0.771 0.034  0.04
O 0.296 0.729 0.534  0.04
O 0.204 0.229 0.966  0.04
O 0.231 0.207 0.533  0.04
O 0.269 0.707 0.967  0.04
O 0.769 0.793 0.467  0.04
O 0.731 0.293 0.033  0.04
O 0.564 0.013 0.739  0.04
O 0.936 0.513 0.761  0.04
O 0.436 0.987 0.261  0.04
O 0.064 0.487 0.239  0.04



Entry from the Alexandria database: an optimized crystal structure of Sr2MnWO6 (PBEsol).

Total moment in Bohr magnetons per cell: 3.4
Uncorrected formation energy in eV per formula unit: -24.6

Lattice parameters (Å, degrees): 5.562 5.562 5.562 60.00 60.00 60.00
Last column: magnetic moment on the atom in μB.
Fractional coordinates of all 10 atoms:
Sr 0.250 0.250 0.250  -0.01
Sr 0.750 0.750 0.750  -0.01
Mn 0.500 0.500 0.500  3.40
O 0.246 0.754 0.246  0.03
O 0.246 0.246 0.754  0.03
O 0.754 0.754 0.246  0.03
O 0.246 0.754 0.754  0.03
O 0.754 0.246 0.754  0.03
O 0.754 0.246 0.246  0.03
W 0.000 0.000 0.000  -0.22



Entry from the Alexandria database: an optimized crystal structure of Sr2MnWO (PBEsol).

Total moment in Bohr magnetons per cell: 6.5
Uncorrected formation energy in eV per formula unit: 0.8

Lattice parameters (Å, degrees): 3.773 5.292 5.292 90.00 90.00 90.00
Last column: magnetic moment on the atom in μB.
Fractional coordinates of all 5 atoms:
Sr 0.000 0.000 0.500  0.04
Sr 0.000 0.500 0.000  0.04
Mn 0.500 0.000 0.000  3.52
O 0.000 0.000 0.000  0.07
W 0.500 0.500 0.500  1.99



Entry from the Alexandria database: an optimized crystal structure of Ta4Mn2Zn3O16 (PBEsol).

Total moment in Bohr magnetons per cell: 8.0
Uncorrected formation energy in eV per formula unit: -55.3

Lattice parameters (Å, degrees): 5.130 5.837 9.906 75.16 89.31 87.48
Last column: magnetic moment on the atom in μB.
Fractional coordinates of all 25 atoms:
Ta 0.256 0.278 0.772  0.06
Ta 0.225 0.047 0.234  0.05
Ta 0.746 0.729 0.234  0.04
Ta 0.762 0.956 0.762  0.05
Mn 0.253 0.650 0.000  3.58
Mn 0.742 0.353 0.004  3.60
Zn 0.236 0.441 0.431  0.00
Zn 0.284 0.883 0.551  0.00
Zn 0.769 0.542 0.559  0.00
O 0.918 0.210 0.870  0.01
O 0.559 0.042 0.132  0.04
O 0.082 0.801 0.126  0.01
O 0.434 0.968 0.868  0.03
O 0.420 0.442 0.894  0.00
O 0.051 0.315 0.111  0.05
O 0.576 0.562 0.105  0.01
O 0.951 0.702 0.887  0.04
O 0.574 0.270 0.655  0.01
O 0.918 0.927 0.338  0.00
O 0.634 0.797 0.635  0.00
O 0.862 0.467 0.382  0.01
O 0.342 0.156 0.387  0.00
O 0.148 0.552 0.614  0.00
O 0.080 0.076 0.657  0.00
O 0.419 0.724 0.348  0.01



Entry from the Alexandria database: an optimized crystal structure of MnTcO2 (PBEsol).

Total moment in Bohr magnetons per cell: 3.4
Uncorrected formation energy in eV per formula unit: -1.3

Lattice parameters (Å, degrees): 3.773 3.773 3.773 60.00 60.00 60.00
Last column: magnetic moment on the atom in μB.
Fractional coordinates of all 4 atoms:
Mn 0.000 0.000 0.000  3.75
Tc 0.500 0.500 0.500  -0.63
O 0.250 0.250 0.250  0.07
O 0.750 0.750 0.750  0.07



Entry from the Alexandria database: an optimized crystal structure of MnTcO2 (PBEsol).

Total moment in Bohr magnetons per cell: 2.5
Uncorrected formation energy in eV per formula unit: -4.3

Lattice parameters (Å, degrees): 2.720 2.720 6.445 77.82 77.82 60.00
Last column: magnetic moment on the atom in μB.
Fractional coordinates of all 4 atoms:
Mn 0.500 0.500 0.500  2.23
Tc 0.000 0.000 0.000  0.20
O 0.893 0.893 0.321  0.02
O 0.107 0.107 0.679  0.02



Entry from the Alexandria database: an optimized crystal structure of Mn3TeO6 (PBEsol).

Total moment in Bohr magnetons per cell: 13.0
Uncorrected formation energy in eV per formula unit: -12.9

Lattice parameters (Å, degrees): 5.335 5.335 5.479 60.87 60.87 60.00
Last column: magnetic moment on the atom in μB.
Fractional coordinates of all 10 atoms:
Mn 0.644 0.644 0.068  3.70
Mn 0.154 0.154 0.538  3.64
Mn 0.366 0.366 0.901  4.45
Te 0.857 0.857 0.430  0.09
O 0.925 0.305 0.273  0.09
O 0.305 0.496 0.273  0.09
O 0.496 0.925 0.273  0.09
O 0.450 0.019 0.748  0.06
O 0.784 0.450 0.748  0.06
O 0.019 0.784 0.748  0.06



Entry from the Alexandria database: an optimized crystal structure of MnTe2O5 (PBEsol).

Total moment in Bohr magnetons per cell: 20.0
Uncorrected formation energy in eV per formula unit: -8.9

Lattice parameters (Å, degrees): 5.996 7.367 10.771 90.00 90.00 90.00
Last column: magnetic moment on the atom in μB.
Fractional coordinates of all 32 atoms:
Mn 0.750 0.000 0.940  4.37
Mn 0.250 0.500 0.560  4.37
Mn 0.250 0.000 0.060  4.37
Mn 0.750 0.500 0.440  4.37
Te 0.009 0.869 0.347  0.06
Te 0.509 0.631 0.153  0.06
Te 0.991 0.369 0.153  0.06
Te 0.491 0.131 0.347  0.06
Te 0.509 0.869 0.653  0.06
Te 0.009 0.631 0.847  0.06
Te 0.491 0.369 0.847  0.06
Te 0.991 0.131 0.653  0.06
O 0.250 0.000 0.446  0.02
O 0.750 0.500 0.054  0.02
O 0.750 0.000 0.554  0.02
O 0.250 0.500 0.946  0.02
O 0.954 0.346 0.560  0.05
O 0.454 0.154 0.940  0.05
O 0.046 0.846 0.940  0.05
O 0.546 0.654 0.560  0.05
O 0.046 0.654 0.440  0.05
O 0.546 0.846 0.060  0.05
O 0.954 0.154 0.060  0.05
O 0.454 0.346 0.440  0.05
O 0.800 0.193 0.788  0.03
O 0.300 0.307 0.712  0.03
O 0.200 0.693 0.712  0.03
O 0.700 0.807 0.788  0.03
O 0.300 0.193 0.212  0.03
O 0.800 0.307 0.288  0.03
O 0.700 0.693 0.288  0.03
O 0.200 0.807 0.212  0.03